(1)
This record from the Alexandria database describes an optimized crystal structure of KTa2Ir. The functional is GGA-PBE.

The structure in CIF format:
```
data_KTa2Ir
_symmetry_space_group_name_H-M 'P 1'
_symmetry_Int_Tables_number 1
_symmetry_space_group_name_Hall 'P 1'
_cell_length_a 4.6776
_cell_length_b 4.6776
_cell_length_c 4.6776
_cell_angle_alpha 60.00
_cell_angle_beta 60.00
_cell_angle_gamma 60.00
loop_
_atom_site_label
_atom_site_type_symbol
_atom_site_fract_x
_atom_site_fract_y
_atom_site_fract_z
_atom_site_occupancy
K1 K 0.0000 0.0000 0.0000 1
Ir1 Ir 0.5000 0.5000 0.5000 1
Ta1 Ta 0.7500 0.7500 0.7500 1
Ta2 Ta 0.2500 0.2500 0.2500 1
```

total magnetic moment	0.00	μB per cell
Fermi-level density of states	0.987	states/eV per atom
calculated formation energy	953.6	meV per atom


(2)
This record from the Alexandria database describes an optimized crystal structure of Nd2TeH2I. The functional is GGA-PBE.

The structure in CIF format:
```
data_Nd2TeH2I
_symmetry_space_group_name_H-M 'P 1'
_symmetry_Int_Tables_number 1
_symmetry_space_group_name_Hall 'P 1'
_cell_length_a 4.0822
_cell_length_b 4.0822
_cell_length_c 9.3967
_cell_angle_alpha 90.00
_cell_angle_beta 90.00
_cell_angle_gamma 120.00
loop_
_atom_site_label
_atom_site_type_symbol
_atom_site_fract_x
_atom_site_fract_y
_atom_site_fract_z
_atom_site_occupancy
Nd1 Nd 0.6667 0.3333 0.2750 1
Te1 Te 0.0000 0.0000 0.5000 1
H1 H 0.3333 0.6667 0.2492 1
Nd2 Nd 0.3333 0.6667 0.7250 1
H2 H 0.6667 0.3333 0.7508 1
I1 I 0.0000 0.0000 0.0000 1
```

total magnetic moment	0.00	μB per cell
uncorrected energy	-4.473	eV per atom
Fermi-level density of states	0.358	states/eV per atom


(3)
This record from the Alexandria database describes an optimized crystal structure of FeCoTe. The functional is GGA-PBE.

The structure in CIF format:
```
data_FeCoTe
_symmetry_space_group_name_H-M 'P 1'
_symmetry_Int_Tables_number 1
_symmetry_space_group_name_Hall 'P 1'
_cell_length_a 3.7447
_cell_length_b 3.7447
_cell_length_c 4.0977
_cell_angle_alpha 90.00
_cell_angle_beta 90.00
_cell_angle_gamma 120.00
loop_
_atom_site_label
_atom_site_type_symbol
_atom_site_fract_x
_atom_site_fract_y
_atom_site_fract_z
_atom_site_occupancy
Co1 Co 0.0000 0.0000 0.0448 1
Fe1 Fe 0.6667 0.3333 0.2499 1
Te1 Te 0.3333 0.6667 0.7053 1
```

formation energy (no corrections)	0.3886	eV/atom
total magnetic moment	2.98	μB per cell
Fermi-level density of states	0.555	states/eV per atom


(4)
This record from the Alexandria database describes an optimized crystal structure of Ca3TbCe2N6. The functional is GGA-PBE.

The structure in CIF format:
```
data_Ca3TbCe2N6
_symmetry_space_group_name_H-M 'P 1'
_symmetry_Int_Tables_number 1
_symmetry_space_group_name_Hall 'P 1'
_cell_length_a 6.1477
_cell_length_b 6.1477
_cell_length_c 6.0994
_cell_angle_alpha 99.64
_cell_angle_beta 99.64
_cell_angle_gamma 120.04
loop_
_atom_site_label
_atom_site_type_symbol
_atom_site_fract_x
_atom_site_fract_y
_atom_site_fract_z
_atom_site_occupancy
N1 N 0.0751 0.4141 0.2240 1
Tb1 Tb 0.0000 0.0000 0.0000 1
Ca1 Ca 0.8344 0.1656 0.5000 1
N2 N 0.2642 0.2642 0.7753 1
N3 N 0.9249 0.5859 0.7760 1
Ce1 Ce 0.6667 0.3333 0.0000 1
N4 N 0.7358 0.7358 0.2247 1
Ca2 Ca 0.5000 0.5000 0.5000 1
N5 N 0.5859 0.9249 0.7760 1
Ce2 Ce 0.3333 0.6667 0.0000 1
Ca3 Ca 0.1656 0.8344 0.5000 1
N6 N 0.4141 0.0751 0.2240 1
```

formation energy (no corrections)	-1.2247	eV/atom
total magnetic moment	1.11	μB per cell
Fermi-level density of states	1.131	states/eV per atom


- total magnetic moment of number 3 (FeCoTe)?
  2.98 μB per cell


- Which of these has the highest total magnetic moment?
  FeCoTe


- Look up the total magnetic moment of the second one.
  0.00 μB per cell


- What is the total magnetic moment in the third record?
  2.98 μB per cell